No. 1
This record from Alexandria via LeMat-Bulk describes crystalline Tb2ErPa2Rh5 at its relaxed geometry. The functional is GGA-PBE.

Lattice parameters (Å, degrees): 10.838 10.838 3.602 90.00 90.00 90.00
Sites, in units of the cell vectors:
1 Tb 0.170 0.330 0.000
2 Tb 0.330 0.830 0.000
3 Tb 0.670 0.170 0.000
4 Tb 0.830 0.670 0.000
5 Er 0.000 0.000 0.000
6 Er 0.500 0.500 0.000
7 Pa 0.137 0.637 0.000
8 Pa 0.363 0.137 0.000
9 Pa 0.637 0.863 0.000
10 Pa 0.863 0.363 0.000
11 Rh 0.000 0.500 0.500
12 Rh 0.050 0.797 0.500
13 Rh 0.203 0.050 0.500
14 Rh 0.297 0.550 0.500
15 Rh 0.450 0.297 0.500
16 Rh 0.500 0.000 0.500
17 Rh 0.550 0.703 0.500
18 Rh 0.703 0.450 0.500
19 Rh 0.797 0.950 0.500
20 Rh 0.950 0.203 0.500

Output
The value obtained for the volume is 21.155 Å³/atom. Its total moment is 0.00 μB/cell. The theoretical density is 11.5 g/cm3. The value obtained for the formation energy is -0.68 eV/atom.

No. 2
This record from Alexandria via LeMat-Bulk describes crystalline TbErPa2Rh4 at its relaxed geometry. The functional is GGA-PBE.

Lattice parameters (Å, degrees): 6.849 5.649 6.650 67.11 49.45 63.43
Sites, in units of the cell vectors:
1 Tb 0.000 0.000 0.000
2 Er 0.416 0.416 0.584
3 Pa 0.271 0.271 0.229
4 Pa 0.771 0.771 0.729
5 Rh 0.295 0.765 0.235
6 Rh 0.518 0.910 0.482
7 Rh 0.765 0.295 0.705
8 Rh 0.910 0.518 0.090

Output
The value obtained for the volume is 21.631 Å³/atom. Its total moment is 0.00 μB/cell. The theoretical density is 11.5 g/cm3. The value obtained for the formation energy is -0.72 eV/atom.

No. 3
This record from Alexandria via LeMat-Bulk describes crystalline ErThPa2Rh4 at its relaxed geometry. The functional is GGA-PBE.

Lattice parameters (Å, degrees): 6.964 5.670 6.735 67.68 48.86 63.46
Sites, in units of the cell vectors:
1 Er 0.000 0.000 0.000
2 Th 0.426 0.426 0.574
3 Pa 0.164 0.164 0.336
4 Pa 0.664 0.664 0.836
5 Rh 0.147 0.668 0.332
6 Rh 0.509 0.908 0.491
7 Rh 0.668 0.147 0.853
8 Rh 0.908 0.509 0.092

Output
The value obtained for the volume is 22.215 Å³/atom. Its total moment is 0.00 μB/cell. The theoretical density is 11.9 g/cm3. The value obtained for the formation energy is -0.77 eV/atom.